[1]
Computed, not measured: Tl5Hg2O after structural relaxation at the PBE level of DFT.

a = 6.542 Å, b = 6.542 Å, c = 7.796 Å
α = 107.71°, β = 107.71°, γ = 118.87°
Positions (direct):
Tl 0.028 0.386 0.984
Tl 0.682 0.682 0.530
Tl 0.212 0.212 0.575
Tl 0.386 0.028 0.984
Tl 0.758 0.758 0.066
Hg 0.610 0.116 0.471
Hg 0.116 0.610 0.471
O 0.984 0.984 0.919

electronic total energy	-2.349	eV per atom
density of states at the Fermi level	2.608	states/eV/cell
calculated density	10.206	g/cm³

[2]
Computed, not measured: Tl4Hg3O2 after structural relaxation at the PBE level of DFT.

a = 3.691 Å, b = 10.406 Å, c = 8.531 Å
α = 124.11°, β = 90.00°, γ = 100.22°
Positions (direct):
Tl 0.795 0.590 0.726
Tl 0.205 0.410 0.274
Tl 0.562 0.124 0.398
Tl 0.438 0.876 0.602
Hg 0.847 0.694 0.192
Hg 0.153 0.306 0.808
Hg 0.000 0.000 0.000
O 0.674 0.347 0.407
O 0.326 0.653 0.593

electronic total energy	-2.591	eV per atom
density of states at the Fermi level	0.472	states/eV/cell
calculated density	9.094	g/cm³

[3]
Computed, not measured: TlHgO3 after structural relaxation at the PBE level of DFT.

a = 5.887 Å, b = 5.887 Å, c = 6.092 Å
α = 61.11°, β = 61.11°, γ = 60.00°
Each line ends with the local moment (μB).
Positions (direct):
Tl 0.860 0.860 0.420  -0.01
Tl 0.140 0.140 0.580  -0.01
Hg 0.641 0.641 0.077  0.14
Hg 0.359 0.359 0.923  0.14
O 0.248 0.956 0.254  0.26
O 0.956 0.542 0.254  0.26
O 0.542 0.248 0.254  0.26
O 0.752 0.044 0.746  0.26
O 0.044 0.458 0.746  0.26
O 0.458 0.752 0.746  0.26

electronic total energy	-3.744	eV per atom
density of states at the Fermi level	5.367	states/eV/cell
calculated density	9.916	g/cm³

[4]
Computed, not measured: TlHg6O8 after structural relaxation at the PBE level of DFT.

a = 6.394 Å, b = 6.394 Å, c = 6.394 Å
α = 92.09°, β = 92.09°, γ = 92.09°
Positions (direct):
Tl 0.000 0.000 0.000
Hg 0.758 0.466 0.888
Hg 0.466 0.888 0.758
Hg 0.888 0.758 0.466
Hg 0.242 0.534 0.112
Hg 0.534 0.112 0.242
Hg 0.112 0.242 0.534
O 0.636 0.636 0.636
O 0.364 0.364 0.364
O 0.688 0.857 0.122
O 0.857 0.122 0.688
O 0.122 0.688 0.857
O 0.312 0.143 0.878
O 0.143 0.878 0.312
O 0.878 0.312 0.143

electronic total energy	-3.141	eV per atom
density of states at the Fermi level	10.321	states/eV/cell
calculated density	9.778	g/cm³

[5]
Computed, not measured: Tl4Hg3O after structural relaxation at the PBE level of DFT.

a = 6.836 Å, b = 6.959 Å, c = 7.155 Å
α = 119.10°, β = 118.54°, γ = 90.00°
Positions (direct):
Tl 0.873 0.719 0.437
Tl 0.436 0.281 0.563
Tl 0.332 0.245 0.000
Tl 0.332 0.755 0.000
Hg 0.895 0.264 0.529
Hg 0.844 0.000 0.000
Hg 0.366 0.736 0.471
O 0.573 0.500 0.000

electronic total energy	-2.074	eV per atom
density of states at the Fermi level	3.908	states/eV/cell
calculated density	9.571	g/cm³

[6]
Computed, not measured: Tl3Hg3O after structural relaxation at the PBE level of DFT.

a = 6.573 Å, b = 11.505 Å, c = 11.501 Å
α = 90.00°, β = 90.00°, γ = 90.00°
Positions (direct):
Tl 0.000 0.103 0.897
Tl 0.000 0.096 0.318
Tl 0.500 0.182 0.596
Tl 0.000 0.318 0.096
Tl 0.500 0.404 0.818
Tl 0.500 0.397 0.397
Tl 0.500 0.603 0.603
Tl 0.500 0.596 0.182
Tl 0.000 0.682 0.904
Tl 0.500 0.818 0.404
Tl 0.000 0.904 0.682
Tl 0.000 0.897 0.103
Hg 0.000 0.200 0.602
Hg 0.500 0.102 0.300
Hg 0.500 0.103 0.898
Hg 0.000 0.397 0.398
Hg 0.000 0.398 0.800
Hg 0.500 0.300 0.102
Hg 0.500 0.700 0.898
Hg 0.000 0.602 0.200
Hg 0.000 0.603 0.602
Hg 0.500 0.897 0.102
Hg 0.500 0.898 0.700
Hg 0.000 0.800 0.398
O 0.000 0.111 0.111
O 0.500 0.389 0.611
O 0.500 0.611 0.389
O 0.000 0.889 0.889

electronic total energy	-2.018	eV per atom
density of states at the Fermi level	11.605	states/eV/cell
calculated density	9.401	g/cm³

[7]
Computed, not measured: Tl8Hg3O2 after structural relaxation at the PBE level of DFT.

a = 7.577 Å, b = 7.455 Å, c = 7.364 Å
α = 109.45°, β = 102.62°, γ = 77.30°
Positions (direct):
Tl 0.254 0.463 0.832
Tl 0.746 0.537 0.168
Tl 0.030 0.784 0.559
Tl 0.970 0.216 0.441
Tl 0.357 0.865 0.308
Tl 0.334 0.392 0.324
Tl 0.666 0.608 0.676
Tl 0.643 0.135 0.692
Hg 0.500 0.000 0.000
Hg 0.067 0.161 0.945
Hg 0.933 0.839 0.055
O 0.691 0.803 0.480
O 0.309 0.197 0.520

electronic total energy	-2.495	eV per atom
density of states at the Fermi level	4.446	states/eV/cell
calculated density	9.971	g/cm³

[8]
Computed, not measured: Tl6Hg3O after structural relaxation at the PBE level of DFT.

a = 6.310 Å, b = 9.855 Å, c = 9.855 Å
α = 101.66°, β = 90.00°, γ = 90.00°
Positions (direct):
Tl 0.142 0.782 0.661
Tl 0.642 0.661 0.782
Tl 0.242 0.451 0.872
Tl 0.742 0.872 0.451
Tl 0.014 0.093 0.907
Tl 0.708 0.292 0.708
Tl 0.208 0.708 0.292
Tl 0.514 0.907 0.093
Tl 0.242 0.128 0.549
Tl 0.742 0.549 0.128
Tl 0.142 0.339 0.218
Tl 0.642 0.218 0.339
Hg 0.553 0.975 0.760
Hg 0.053 0.760 0.975
Hg 0.321 0.477 0.523
Hg 0.821 0.523 0.477
Hg 0.053 0.025 0.240
Hg 0.553 0.240 0.025
O 0.069 0.250 0.750
O 0.569 0.750 0.250

electronic total energy	-2.137	eV per atom
density of states at the Fermi level	7.862	states/eV/cell
calculated density	10.204	g/cm³

[9]
Computed, not measured: Tl3HgO3 after structural relaxation at the PBE level of DFT.

a = 6.799 Å, b = 6.799 Å, c = 8.424 Å
α = 66.20°, β = 66.20°, γ = 60.00°
Positions (direct):
Tl 0.238 0.555 0.303
Tl 0.903 0.238 0.303
Tl 0.555 0.903 0.303
Tl 0.445 0.097 0.697
Tl 0.097 0.762 0.697
Tl 0.762 0.445 0.697
Hg 0.333 0.333 0.001
Hg 0.667 0.667 0.999
O 0.436 0.806 0.626
O 0.806 0.131 0.626
O 0.131 0.436 0.626
O 0.869 0.564 0.374
O 0.194 0.869 0.374
O 0.564 0.194 0.374

electronic total energy	-3.576	eV per atom
density of states at the Fermi level	7.064	states/eV/cell
calculated density	9.592	g/cm³

[10]
Computed, not measured: Tl12Hg5O2 after structural relaxation at the PBE level of DFT.

a = 7.317 Å, b = 9.866 Å, c = 9.975 Å
α = 112.65°, β = 111.52°, γ = 90.00°
Positions (direct):
Tl 0.994 0.817 0.987
Tl 0.920 0.099 0.306
Tl 0.386 0.099 0.306
Tl 0.893 0.573 0.296
Tl 0.403 0.573 0.296
Tl 0.506 0.191 0.012
Tl 0.494 0.809 0.988
Tl 0.107 0.427 0.704
Tl 0.597 0.427 0.704
Tl 0.080 0.901 0.694
Tl 0.614 0.901 0.694
Tl 0.006 0.183 0.013
Hg 0.709 0.384 0.418
Hg 0.681 0.867 0.362
Hg 0.000 0.500 0.000
Hg 0.319 0.133 0.638
Hg 0.291 0.616 0.582
O 0.255 0.000 0.000
O 0.745 0.000 0.000

electronic total energy	-2.192	eV per atom
density of states at the Fermi level	8.582	states/eV/cell
calculated density	9.497	g/cm³